Record 1
Sm2Cd3In after structural relaxation. Source: Alexandria, functional PBE.

Cell lengths 6.148, 6.148, 10.001 Å; angles 113.97, 113.97, 71.21 degrees
Atoms (fractional coordinates):
Cd 0.834 0.834 0.668
Cd 0.332 0.332 0.165
Cd 0.167 0.167 0.835
Cd 0.833 0.833 0.165
Cd 0.668 0.668 0.835
Cd 0.166 0.166 0.332
Sm 0.752 0.248 0.000
Sm 0.248 0.752 0.000
Sm 0.750 0.250 0.500
Sm 0.250 0.750 0.500
In 0.666 0.666 0.333
In 0.334 0.334 0.667

Record 2
SmCdIn after structural relaxation. Source: Alexandria, functional PBE.

Cell lengths 4.913, 4.913, 7.615 Å; angles 90.00, 90.00, 120.00 degrees
Atoms (fractional coordinates):
Cd 0.333 0.667 0.475
Cd 0.667 0.333 0.525
In 0.667 0.333 0.947
In 0.333 0.667 0.053
Sm 0.000 0.000 0.738
Sm 0.000 0.000 0.262

Record 3
SmCd4In after structural relaxation. Source: Alexandria, functional PBE.

Cell lengths 5.970, 5.970, 5.970 Å; angles 60.00, 60.00, 60.00 degrees
Atoms (fractional coordinates):
Cd 0.625 0.126 0.625
Cd 0.126 0.625 0.625
Cd 0.625 0.625 0.625
Cd 0.625 0.625 0.126
Sm 0.250 0.250 0.250
In 0.000 0.000 0.000

Record 4
Sm6Cd2In after structural relaxation. Source: Alexandria, functional PBE.

Cell lengths 8.976, 8.976, 8.976 Å; angles 109.97, 110.28, 108.17 degrees
Atoms (fractional coordinates):
In 0.000 0.000 0.000
In 0.000 0.500 0.500
Cd 0.361 0.000 0.361
Cd 0.500 0.636 0.136
Cd 0.500 0.364 0.864
Cd 0.639 0.000 0.639
Sm 0.268 0.945 0.677
Sm 0.732 0.409 0.677
Sm 0.732 0.055 0.323
Sm 0.200 0.747 0.947
Sm 0.800 0.253 0.053
Sm 0.555 0.735 0.820
Sm 0.800 0.747 0.547
Sm 0.915 0.735 0.180
Sm 0.200 0.253 0.453
Sm 0.268 0.591 0.323
Sm 0.085 0.265 0.820
Sm 0.445 0.265 0.180

Record 5
Sm2CdIn9 after structural relaxation. Source: Alexandria, functional PBE.

Cell lengths 4.715, 4.715, 13.929 Å; angles 90.00, 90.00, 90.00 degrees
Atoms (fractional coordinates):
Cd 0.000 0.000 0.000
In 0.000 0.500 0.160
In 0.500 0.000 0.500
In 0.500 0.000 0.840
In 0.500 0.000 0.160
In 0.500 0.500 0.665
In 0.500 0.500 0.000
In 0.500 0.500 0.335
In 0.000 0.500 0.500
In 0.000 0.500 0.840
Sm 0.000 0.000 0.666
Sm 0.000 0.000 0.334

Record 6
SmCdIn2 after structural relaxation. Source: Alexandria, functional PBE.

Cell lengths 4.784, 4.784, 6.027 Å; angles 66.62, 66.62, 60.00 degrees
Atoms (fractional coordinates):
Cd 0.500 0.500 0.500
Sm 0.000 0.000 0.000
In 0.770 0.770 0.690
In 0.230 0.230 0.310

Record 7
Sm3Cd5In2 after structural relaxation. Source: Alexandria, functional PBE.

Cell lengths 6.385, 9.731, 9.731 Å; angles 86.93, 70.85, 70.85 degrees
Atoms (fractional coordinates):
Cd 0.125 0.512 0.238
Cd 0.750 0.500 0.500
Cd 0.002 0.748 0.748
Cd 0.498 0.252 0.252
Cd 0.250 0.500 0.500
Cd 0.998 0.252 0.252
Cd 0.875 0.488 0.762
Cd 0.502 0.748 0.748
Cd 0.625 0.238 0.512
Cd 0.375 0.762 0.488
Sm 0.121 0.139 0.619
Sm 0.621 0.619 0.139
Sm 0.379 0.381 0.861
Sm 0.750 0.000 0.000
Sm 0.250 0.000 0.000
Sm 0.879 0.861 0.381
In 0.870 0.290 0.971
In 0.630 0.029 0.710
In 0.130 0.710 0.029
In 0.370 0.971 0.290

Record 8
SmCdIn after structural relaxation. Source: Alexandria, functional PBE.

Cell lengths 3.710, 4.938, 4.938 Å; angles 120.00, 90.00, 90.00 degrees
Atoms (fractional coordinates):
Sm 0.667 0.667 0.333
Cd 0.167 0.333 0.667
In 0.166 0.000 0.000

Record 9
SmCdIn after structural relaxation. Source: Alexandria, functional PBE.

Cell lengths 4.942, 4.942, 4.942 Å; angles 60.00, 60.00, 60.00 degrees
Atoms (fractional coordinates):
Sm 0.500 0.500 0.500
In 0.000 0.000 0.000
Cd 0.250 0.250 0.250

Record 10
Sm3CdIn after structural relaxation. Source: Alexandria, functional PBE.

Cell lengths 10.468, 8.270, 8.270 Å; angles 75.32, 64.08, 64.08 degrees
Atoms (fractional coordinates):
Sm 0.076 0.306 0.349
Sm 0.584 0.744 0.060
Sm 0.916 0.940 0.256
Sm 0.424 0.651 0.694
Sm 0.416 0.256 0.940
Sm 0.576 0.349 0.306
Sm 0.933 0.354 0.034
Sm 0.567 0.966 0.646
Sm 0.084 0.060 0.744
Sm 0.924 0.694 0.651
Sm 0.433 0.034 0.354
Sm 0.067 0.646 0.966
In 0.750 0.026 0.974
In 0.250 0.363 0.637
In 0.250 0.974 0.026
In 0.750 0.637 0.363
Cd 0.771 0.197 0.568
Cd 0.271 0.568 0.197
Cd 0.729 0.432 0.803
Cd 0.229 0.803 0.432

Record 11
Sm6CdIn5 after structural relaxation. Source: Alexandria, functional PBE.

Cell lengths 5.418, 9.378, 9.378 Å; angles 120.03, 106.79, 106.79 degrees
Atoms (fractional coordinates):
Sm 0.749 0.249 0.249
Sm 0.249 0.416 0.083
Sm 0.249 0.083 0.416
Sm 0.251 0.751 0.751
Sm 0.751 0.584 0.917
Sm 0.751 0.917 0.584
In 0.000 0.334 0.666
In 0.500 0.836 0.164
In 0.000 0.666 0.334
In 0.500 0.164 0.836
In 0.500 0.500 0.500
Cd 0.000 0.000 0.000

Record 12
Sm11Cd4In9 after structural relaxation. Source: Alexandria, functional PBE.

Cell lengths 3.820, 13.731, 13.731 Å; angles 112.68, 90.00, 90.00 degrees
Atoms (fractional coordinates):
Sm 0.000 0.837 0.163
Sm 0.000 0.590 0.942
Sm 0.000 0.361 0.639
Sm 0.000 0.000 0.000
Sm 0.000 0.058 0.410
Sm 0.000 0.410 0.058
Sm 0.000 0.720 0.720
Sm 0.000 0.639 0.361
Sm 0.000 0.163 0.837
Sm 0.000 0.280 0.280
Sm 0.000 0.942 0.590
Cd 0.500 0.252 0.448
Cd 0.500 0.448 0.252
Cd 0.500 0.552 0.748
Cd 0.500 0.748 0.552
In 0.500 0.370 0.844
In 0.500 0.059 0.213
In 0.500 0.630 0.156
In 0.500 0.941 0.787
In 0.500 0.213 0.059
In 0.500 0.844 0.370
In 0.500 0.787 0.941
In 0.500 0.500 0.500
In 0.500 0.156 0.630

Record 13
SmCdIn2 after structural relaxation. Source: Alexandria, functional PBE.

Cell lengths 3.748, 3.748, 7.423 Å; angles 90.00, 90.00, 90.00 degrees
Atoms (fractional coordinates):
In 0.000 0.000 0.778
In 0.000 0.000 0.222
Cd 0.500 0.500 0.000
Sm 0.500 0.500 0.500

Record 14
Sm4CdIn2 after structural relaxation. Source: Alexandria, functional PBE.

Cell lengths 5.358, 5.358, 9.151 Å; angles 72.98, 72.98, 60.00 degrees
Atoms (fractional coordinates):
In 0.253 0.253 0.241
In 0.747 0.747 0.759
Sm 0.381 0.381 0.856
Sm 0.871 0.871 0.387
Sm 0.619 0.619 0.144
Sm 0.129 0.129 0.613
Cd 0.000 0.000 0.000

Record 15
Sm5Cd4In after structural relaxation. Source: Alexandria, functional PBE.

Cell lengths 3.791, 3.791, 19.400 Å; angles 90.00, 90.00, 90.00 degrees
Each line ends with the local moment (μB).
Atoms (fractional coordinates):
In 0.000 0.000 0.000  0.00
Cd 0.000 0.000 0.798  0.01
Cd 0.000 0.000 0.600  0.01
Cd 0.000 0.000 0.400  0.01
Cd 0.000 0.000 0.202  0.01
Sm 0.500 0.500 0.898  0.05
Sm 0.500 0.500 0.301  0.14
Sm 0.500 0.500 0.102  0.05
Sm 0.500 0.500 0.500  0.15
Sm 0.500 0.500 0.699  0.14

Record 16
Sm2Cd5In after structural relaxation. Source: Alexandria, functional PBE.

Cell lengths 4.366, 9.411, 10.229 Å; angles 90.00, 90.00, 103.41 degrees
Atoms (fractional coordinates):
Sm 0.189 0.378 0.250
Sm 0.000 0.000 0.500
Sm 0.000 0.000 0.000
Sm 0.811 0.622 0.750
Cd 0.364 0.727 0.530
Cd 0.636 0.273 0.470
Cd 0.796 0.593 0.102
Cd 0.636 0.273 0.030
Cd 0.613 0.226 0.750
Cd 0.204 0.407 0.602
Cd 0.796 0.593 0.398
Cd 0.387 0.774 0.250
Cd 0.364 0.727 0.970
Cd 0.204 0.407 0.898
In 0.541 0.081 0.250
In 0.459 0.919 0.750

Record 17
Sm7CdIn5 after structural relaxation. Source: Alexandria, functional PBE.

Cell lengths 6.682, 8.321, 8.321 Å; angles 78.51, 66.33, 66.33 degrees
Atoms (fractional coordinates):
Sm 0.525 0.147 0.802
Sm 0.016 0.668 0.299
Sm 0.608 0.392 0.392
Sm 0.245 0.755 0.755
Sm 0.525 0.802 0.147
Sm 0.282 0.218 0.218
Sm 0.016 0.299 0.668
In 0.534 0.473 0.993
In 0.775 0.725 0.725
In 0.000 0.993 0.473
In 0.000 0.473 0.993
In 0.534 0.993 0.473
Cd 0.940 0.060 0.060

Record 18
Sm6Cd3In after structural relaxation. Source: Alexandria, functional PBE.

Cell lengths 5.373, 9.483, 11.882 Å; angles 107.42, 90.00, 90.00 degrees
Atoms (fractional coordinates):
Cd 0.250 0.387 0.785
Cd 0.250 0.530 0.374
Cd 0.750 0.470 0.626
Cd 0.750 0.613 0.215
Cd 0.250 0.771 0.974
Cd 0.750 0.229 0.026
Sm 0.250 0.461 0.087
Sm 0.750 0.162 0.697
Sm 0.250 0.095 0.877
Sm 0.250 0.257 0.502
Sm 0.250 0.658 0.675
Sm 0.250 0.838 0.303
Sm 0.750 0.342 0.325
Sm 0.750 0.869 0.840
Sm 0.750 0.905 0.123
Sm 0.250 0.131 0.160
Sm 0.750 0.539 0.913
Sm 0.750 0.743 0.498
In 0.750 0.044 0.404
In 0.250 0.956 0.596

Record 19
Sm5CdIn3 after structural relaxation. Source: Alexandria, functional PBE.

Cell lengths 6.744, 9.497, 9.497 Å; angles 120.00, 90.00, 90.00 degrees
Atoms (fractional coordinates):
Sm 0.250 0.000 0.706
Sm 0.000 0.667 0.333
Sm 0.250 0.706 0.000
Sm 0.750 0.706 0.706
Sm 0.750 0.000 0.294
Sm 0.250 0.294 0.294
Sm 0.500 0.667 0.333
Sm 0.500 0.333 0.667
Sm 0.750 0.294 0.000
Sm 0.000 0.333 0.667
In 0.250 0.633 0.633
In 0.250 0.367 0.000
In 0.750 0.000 0.633
In 0.750 0.633 0.000
In 0.750 0.367 0.367
In 0.250 0.000 0.367
Cd 0.000 0.000 0.000
Cd 0.500 0.000 0.000

Record 20
Sm2CdIn after structural relaxation. Source: Alexandria, functional PBE.

Cell lengths 3.828, 5.413, 5.413 Å; angles 90.00, 90.00, 90.00 degrees
Atoms (fractional coordinates):
In 0.500 0.500 0.500
Cd 0.500 0.000 0.000
Sm 0.000 0.000 0.500
Sm 0.000 0.500 0.000

Record 21
Sm6CdIn6 after structural relaxation. Source: Alexandria, functional PBE.

Cell lengths 6.420, 6.420, 10.805 Å; angles 90.00, 90.00, 120.00 degrees
Each line ends with the local moment (μB).
Atoms (fractional coordinates):
In 0.500 0.500 0.750  0.01
In 0.500 0.000 0.250  0.01
In 0.500 0.500 0.250  0.01
In 0.500 0.000 0.750  0.01
In 0.000 0.500 0.250  0.01
In 0.000 0.500 0.750  0.01
Sm 0.333 0.667 0.500  0.01
Sm 0.667 0.333 0.000  0.07
Sm 0.000 0.000 0.310  -0.03
Sm 0.333 0.667 0.000  0.07
Sm 0.000 0.000 0.690  -0.03
Sm 0.667 0.333 0.500  0.01
Cd 0.000 0.000 0.000  0.00

In the order shown, the computed total energy values come out to -34.43 -19.29 -11.77 -69.17 -38.16 -12.17 -52.13 -9.65 -9.31 -75.25 -48.57 -89.96 -12.01 -27.33 -33.50 -37.75 -51.04 -72.78 -72.67 -14.73 -49.71 eV for the cell shown.
In the order shown, the computed DFT formation energy values come out to -382 -424 -109 -189 -263 -265 -186 -425 -311 -200 -471 -406 -225 -295 -351 -265 -262 -259 -401 -409 -311 meV/atom.